Material: PrNd3Dy6Tm2
Method: DFT, PBE
State: relaxed

Structure (POSCAR):
```
PrNd3Dy6Tm2
1.0
-4.1112 -3.1544 3.4116
1.8040 -2.2121 -5.5085
9.4936 -3.9925 5.8738
Dy Nd Tm Pr
6 3 2 1
direct
0.7484 0.7484 0.2472
0.9170 0.5826 0.7528
0.4174 0.0830 0.2472
0.0830 0.4174 0.2472
0.2516 0.2516 0.7528
0.5826 0.9170 0.7528
0.5000 0.5000 0.5000
0.1669 0.8331 0.5000
0.8331 0.1669 0.5000
0.3332 0.6668 0.0000
0.6668 0.3332 0.0000
0.0000 0.0000 0.0000
```

Formation energy in eV/atom: 0.0184

Material: TbPrTm2S6
Method: DFT, PBE
State: relaxed

Structure (POSCAR):
```
TbPrTm2S6
1.0
-3.0033 0.6076 6.2488
2.3059 -3.8018 5.3542
3.7250 3.4021 5.3352
S Tb Tm Pr
6 1 2 1
direct
0.1398 0.3880 0.7459
0.3879 0.7264 0.7459
0.7264 0.1397 0.7459
0.6217 0.2282 0.2443
0.9059 0.6217 0.2443
0.2281 0.9059 0.2443
0.3142 0.3142 0.0573
0.0132 0.0133 0.9604
0.5168 0.5168 0.4497
0.8076 0.8076 0.5772
```

ΔE_f (raw) in eV per atom: -2.04

Material: PmMnSb2
Method: DFT, PBE
State: relaxed

Structure (POSCAR):
```
PmMnSb2
1.0
-4.1780 0.0695 -0.7766
0.8489 -0.9140 -4.6487
-0.2430 -4.7250 0.8846
Pm Mn Sb
1 1 2
direct
0.5000 0.0000 0.0000
0.5000 0.5000 0.5000
0.0000 0.5000 0.0000
0.0000 0.0000 0.5000
```

Energy above the most stable polymorph in this dataset in meV per atom: 265
ΔE_f (raw) in eV per atom: -0.30

Material: CoRh2
Method: DFT, PBE
State: relaxed

Structure (POSCAR):
```
CoRh2
1.0
2.6853 0.0000 0.0000
0.0000 8.0067 0.0000
0.0000 0.0000 3.7030
Co Rh
2 4
direct
0.0000 0.3276 0.0000
0.0000 0.0057 0.0000
0.5000 0.4925 0.5000
0.5000 0.1667 0.5000
0.5000 0.8408 0.5000
0.0000 0.6667 0.0000
```

Formation energy in eV/atom: 0.0584

Material: Pm4Hg3Bi
Method: DFT, PBE
State: relaxed

Structure (POSCAR):
```
Pm4Hg3Bi
1.0
-3.0090 2.4501 -3.8195
-2.0176 -6.8304 -2.7921
-8.6102 -0.1818 6.6664
Pm Hg Bi
8 6 2
direct
0.0007 0.2446 0.7500
0.5000 0.2446 0.5000
0.5000 0.2446 0.0000
0.9993 0.2446 0.2500
0.9993 0.7554 0.2500
0.0007 0.7554 0.7500
0.5000 0.7554 0.5000
0.5000 0.7554 0.0000
0.5007 0.0000 0.7500
0.4993 0.0000 0.2500
0.4988 0.5000 0.2500
0.0000 0.0000 0.5000
0.5012 0.5000 0.7500
0.0000 0.0000 0.0000
0.0000 0.5000 0.5000
0.0000 0.5000 0.0000
```

Formation energy in eV/atom: -0.5413

Material: TlGeAu4
Method: DFT, PBE
State: relaxed

Structure (POSCAR):
```
TlGeAu4
1.0
-4.2576 1.3467 1.5218
-2.4219 -4.1329 -3.1185
2.9254 -7.1336 7.1823
Ge Au Tl
2 8 2
direct
0.1046 0.7500 0.2092
0.8954 0.2500 0.7908
0.3387 0.2500 0.6774
0.0000 0.0000 0.0000
0.0000 0.5000 0.0000
0.2111 0.0077 0.4222
0.7889 0.9923 0.5778
0.6613 0.7500 0.3226
0.2111 0.4923 0.4222
0.7889 0.5077 0.5778
0.4081 0.7500 0.8162
0.5919 0.2500 0.1838
```

Formation energy in eV/atom: 0.0440
Energy above the most stable polymorph in this dataset in meV per atom: 20

Material: Cs2Th2S5
Method: DFT, PBE
State: relaxed

Structure (POSCAR):
```
Cs2Th2S5
1.0
5.4444 0.0000 0.0000
-2.7222 7.9607 -0.2667
0.0000 -1.5064 8.6425
S Th Cs
5 2 2
direct
0.8597 0.7194 0.3949
0.3247 0.6494 0.0276
0.6753 0.3506 0.9724
0.1403 0.2806 0.6051
0.0000 0.0000 0.0000
0.1493 0.2986 0.8966
0.8507 0.7014 0.1034
0.3857 0.7714 0.6442
0.6143 0.2286 0.3558
```

Energy above the most stable polymorph in this dataset in meV per atom: 165
ΔE_f (raw) in eV per atom: -1.62

Material: LiMgZn2
Method: DFT, PBE
State: relaxed

Structure (POSCAR):
```
LiMgZn2
1.0
3.2805 0.0000 0.0000
0.0000 3.2805 0.0000
0.0000 0.0000 6.1752
Mg Zn Li
1 2 1
direct
0.5000 0.5000 0.7517
0.0000 0.0000 0.0207
0.5000 0.5000 0.2565
0.0000 0.0000 0.4711
```

Formation energy in eV/atom: -0.0925

Material: RbCaN2F
Method: DFT, PBE
State: relaxed

Structure (POSCAR):
```
RbCaN2F
1.0
4.8646 0.0000 0.0000
0.0000 4.8646 0.0000
0.0000 0.0000 4.5037
F N Rb Ca
1 2 1 1
direct
0.0000 0.0000 0.5000
0.5000 0.0000 0.0000
0.0000 0.5000 0.0000
0.5000 0.5000 0.5000
0.0000 0.0000 0.0000
```

Energy above the most stable polymorph in this dataset in meV per atom: 0
ΔE_f (raw) in eV per atom: -0.20

Material: KGe2BRh
Method: DFT, PBE
State: relaxed

Structure (POSCAR):
```
KGe2BRh
1.0
-2.2805 -3.6293 -0.5832
0.8886 0.2386 -4.9597
3.5960 -2.3449 0.5315
Ge Rh B K
2 1 1 1
direct
0.5000 0.0000 0.0000
0.0000 0.0000 0.5000
0.5000 0.5000 0.5000
0.0000 0.0000 0.0000
0.0000 0.5000 0.0000
```

Formation energy in eV/atom: 0.9801

Material: TaIn2Fe
Method: DFT, PBE
State: relaxed

Structure (POSCAR):
```
TaIn2Fe
1.0
-2.0800 0.0395 -2.1465
-1.8282 -1.7647 1.7391
-4.2114 5.8210 4.1881
Fe In Ta
1 2 1
direct
0.5000 0.8265 0.7230
0.5000 0.0455 0.2819
0.0000 0.2165 0.9432
0.0000 0.4114 0.5519
```

Formation energy in eV/atom: 0.1026
Energy above the most stable polymorph in this dataset in meV per atom: 0

Material: LaFeCl2
Method: DFT, PBE
State: relaxed

Structure (POSCAR):
```
LaFeCl2
1.0
5.0879 0.0000 0.0000
2.5440 4.4063 0.0000
2.5440 1.4688 4.1543
Cl La Fe
2 1 1
direct
0.2500 0.2500 0.2500
0.0000 0.0000 0.0000
0.7500 0.7500 0.7500
0.5000 0.5000 0.5000
```

Energy above the most stable polymorph in this dataset in meV per atom: 485
ΔE_f (raw) in eV per atom: -0.44

Material: LiNdTlZn
Method: DFT, PBE
State: relaxed

Structure (POSCAR):
```
LiNdTlZn
1.0
-2.4660 4.1564 -1.6227
-3.0378 2.5688 3.1879
1.3868 4.6072 1.6853
Li Zn Nd Tl
1 1 1 1
direct
0.2500 0.2500 0.2500
0.0000 0.0000 0.0000
0.7500 0.7500 0.7500
0.5000 0.5000 0.5000
```

Formation energy in eV/atom: -0.2903

Material: BaLi2DyAu4
Method: DFT, PBE
State: relaxed

Structure (POSCAR):
```
BaLi2DyAu4
1.0
-2.5678 3.0070 -2.3578
-4.0382 -1.3167 -1.7760
-6.8829 3.3129 7.2266
Li Dy Au Ba
2 1 4 1
direct
0.2398 0.2398 0.2805
0.7602 0.7602 0.7195
0.5000 0.5000 0.5000
0.4034 0.4034 0.7898
0.1171 0.1171 0.6487
0.5966 0.5966 0.2102
0.8829 0.8829 0.3513
0.0000 0.0000 0.0000
```

Formation energy in eV/atom: -0.6692

Material: BaSiMo2
Method: DFT, PBE
State: relaxed

Structure (POSCAR):
```
BaSiMo2
1.0
-3.2080 -1.0948 0.4826
1.1240 -3.2310 0.1422
0.8775 0.6242 7.2482
Si Mo Ba
1 2 1
direct
0.5000 0.5000 0.2500
0.0000 0.0000 0.4048
0.0000 0.0000 0.0952
0.5000 0.5000 0.7500
```

ΔE_f (raw) in eV per atom: 0.38

Material: La2PrAl2
Method: DFT, PBE
State: relaxed

Structure (POSCAR):
```
La2PrAl2
1.0
4.7355 0.0000 2.0254
2.0245 5.2600 1.8151
0.2743 -0.3018 5.9072
Al La Pr
2 2 1
direct
0.5000 0.6901 0.3099
0.5000 0.3099 0.6901
0.8036 0.6964 0.6964
0.1964 0.3036 0.3036
0.0000 0.0000 0.0000
```

Formation energy in eV/atom: -0.2991
Energy above the most stable polymorph in this dataset in meV per atom: 0

Material: Ba3VN4
Method: DFT, PBE
State: relaxed

Structure (POSCAR):
```
Ba3VN4
1.0
8.0909 0.0000 0.0000
0.0000 8.8747 0.0000
0.0000 0.0000 8.8125
N Ba V
16 12 4
direct
0.7777 0.2735 0.7500
0.2777 0.2265 0.7500
0.3205 0.4569 0.0743
0.1795 0.9569 0.5743
0.3205 0.4569 0.4257
0.6795 0.5431 0.5743
0.0079 0.4555 0.2500
0.5079 0.0445 0.2500
0.6795 0.5431 0.9257
0.8205 0.0431 0.4257
0.1795 0.9569 0.9257
0.8205 0.0431 0.0743
0.4921 0.9555 0.7500
0.9921 0.5445 0.7500
0.7223 0.7735 0.2500
0.2223 0.7265 0.2500
0.5352 0.2167 0.9739
0.3343 0.5192 0.7500
0.4648 0.7833 0.4739
0.6657 0.4808 0.2500
0.5352 0.2167 0.5261
0.9648 0.7167 0.4739
0.9648 0.7167 0.0261
0.4648 0.7833 0.0261
0.0352 0.2833 0.5261
0.8343 0.9808 0.7500
0.1657 0.0192 0.2500
0.0352 0.2833 0.9739
0.7771 0.4818 0.7500
0.7229 0.9818 0.2500
0.2229 0.5182 0.2500
0.2771 0.0182 0.7500
```

ΔE_f (raw) in eV per atom: -0.74

Material: SrLaNi2
Method: DFT, PBE
State: relaxed

Structure (POSCAR):
```
SrLaNi2
1.0
3.5836 0.0000 0.0000
0.0000 3.6207 0.0359
0.0000 3.5614 7.2198
Ni Sr La
2 1 1
direct
0.0000 0.4510 0.5493
0.0000 0.0490 0.9507
0.5000 0.2500 0.2500
0.5000 0.7500 0.7500
```

Formation energy in eV/atom: -0.1194
Energy above the most stable polymorph in this dataset in meV per atom: 49

Material: Li4In10Sn
Method: DFT, PBE
State: relaxed

Structure (POSCAR):
```
Li4In10Sn
1.0
6.1729 0.0000 2.7873
3.0864 7.4389 1.3937
0.0251 0.0000 8.1734
In Sn Li
10 1 4
direct
0.0542 0.1094 0.3166
0.6292 0.3166 0.8906
0.9458 0.8906 0.6834
0.8364 0.6834 0.1094
0.2500 0.5000 0.5000
0.5198 0.1094 0.3166
0.4802 0.8906 0.6834
0.7500 0.5000 0.5000
0.3708 0.6834 0.1094
0.1636 0.3166 0.8906
0.0000 0.0000 0.0000
0.3982 0.7981 0.4055
0.1963 0.4055 0.2019
0.6018 0.2019 0.5945
0.8037 0.5945 0.7981
```

Formation energy in eV/atom: -0.0540

Material: AcLaYZn
Method: DFT, PBE
State: relaxed

Structure (POSCAR):
```
AcLaYZn
1.0
-1.6018 1.9648 2.7540
-2.9692 -2.2767 -0.1027
3.9402 -5.4165 6.1560
Y Ac Zn La
1 1 1 1
direct
0.5000 0.5000 0.3784
0.0000 0.0000 0.0821
0.0000 0.0000 0.5541
0.5000 0.5000 0.7701
```

Formation energy in eV/atom: -0.1366
Energy above the most stable polymorph in this dataset in meV per atom: 0

Material: BeTlRu2
Method: DFT, PBE
State: relaxed

Structure (POSCAR):
```
BeTlRu2
1.0
-0.1691 -3.6370 -2.3152
3.5386 1.2073 -2.1535
1.8408 -1.4821 2.1939
Tl Ru Be
1 2 1
direct
0.5000 0.0000 0.5000
0.5000 0.5000 0.0000
0.0000 0.0000 0.0000
0.0000 0.5000 0.5000
```

Formation energy in eV/atom: 0.5551
Energy above the most stable polymorph in this dataset in meV per atom: 282

Material: AgSBr4
Method: DFT, PBE
State: relaxed

Structure (POSCAR):
```
AgSBr4
1.0
7.5365 -0.5622 0.1345
0.3626 6.4665 2.7401
-0.3226 -1.0748 11.6034
Br Ag S
8 2 2
direct
0.0014 0.2572 0.4989
0.4986 0.7440 0.4989
0.8502 0.4740 0.1103
0.3502 0.0842 0.8897
0.5014 0.2560 0.5011
0.1498 0.5260 0.8897
0.6498 0.9158 0.1103
0.9986 0.7428 0.5011
0.2500 0.0008 0.4984
0.7500 0.9992 0.5016
0.2500 0.3659 0.7682
0.7500 0.6341 0.2318
```

ΔE_f (raw) in eV per atom: -0.05

Material: Pm12In3Hg
Method: DFT, PBE
State: relaxed

Structure (POSCAR):
```
Pm12In3Hg
1.0
4.9471 0.0000 0.0000
0.0000 4.9471 0.0000
0.0000 0.0000 19.7499
Pm In Hg
12 3 1
direct
0.5000 0.5000 0.7524
0.0000 0.5000 0.3743
0.5000 0.5000 0.5000
0.5000 0.0000 0.3743
0.5000 0.0000 0.6257
0.5000 0.5000 0.0000
0.5000 0.5000 0.2476
0.5000 0.0000 0.8763
0.5000 0.0000 0.1237
0.0000 0.5000 0.8763
0.0000 0.5000 0.1237
0.0000 0.5000 0.6257
0.0000 0.0000 0.7508
0.0000 0.0000 0.5000
0.0000 0.0000 0.2492
0.0000 0.0000 0.0000
```

Formation energy in eV/atom: -0.2507

Material: Y2ZrGaC
Method: DFT, PBE
State: relaxed

Structure (POSCAR):
```
Y2ZrGaC
1.0
5.8284 0.0000 0.0000
0.0000 3.5908 0.0000
0.0000 0.0000 5.8284
Y Ga C Zr
2 1 1 1
direct
0.0000 0.0000 0.5000
0.5000 0.0000 0.0000
0.0000 0.0000 0.0000
0.0000 0.5000 0.0000
0.5000 0.5000 0.5000
```

Formation energy in eV/atom: 0.9066
Energy above the most stable polymorph in this dataset in meV per atom: 1374